[1]
Material: OsO2F4
Method: DFT, GGA-PBEsol
State: relaxed

Structure (CIF):
```
data_OsO2F4
_cell_length_a 9.4489
_cell_length_b 9.4489
_cell_length_c 10.7428
_cell_angle_alpha 90.00
_cell_angle_beta 90.00
_cell_angle_gamma 120.00
_symmetry_space_group_name_H-M 'P 61'
_symmetry_Int_Tables_number 169
_symmetry_space_group_name_Hall 'P 61'
loop_
_atom_site_label
_atom_site_fract_x
_atom_site_fract_y
_atom_site_fract_z
Os1 0.0792 0.4982 0.0000
O1 0.1106 0.4354 0.8588
O2 0.1177 0.5433 0.4850
F1 0.0219 0.2992 0.0761
F2 0.0881 0.5730 0.1661
F3 0.1660 0.7159 0.9548
F4 0.2609 0.7001 0.7099
```

Computed properties:
theoretical density = 3.58 g cm⁻³
uncorrected energy = -5.707 eV per atom
formation energy without anion corrections = -1361 meV per atom
magnetization = 0.00 μB/f.u.
Fermi-level density of states = 0.000 states/eV/cell

=====

[2]
Material: LaMgCo2H
Method: DFT, GGA-PBEsol
State: relaxed

Structure (CIF):
```
data_LaMgCo2H
_cell_length_a 4.2310
_cell_length_b 4.2310
_cell_length_c 3.7897
_cell_angle_alpha 90.00
_cell_angle_beta 90.00
_cell_angle_gamma 90.00
_symmetry_space_group_name_H-M 'P 4/m m m'
_symmetry_Int_Tables_number 123
_symmetry_space_group_name_Hall '-P 4 2'
loop_
_atom_site_label
_atom_site_fract_x
_atom_site_fract_y
_atom_site_fract_z
La1 0.0000 0.0000 0.0000
Mg1 0.5000 0.5000 0.0000
Co1 0.0000 0.5000 0.5000
H1 0.5000 0.5000 0.5000
```

Computed properties:
theoretical density = 6.90 g cm⁻³
uncorrected energy = -4.922 eV per atom
magnetization = 0.00 μB/f.u.
Fermi-level density of states = 1.488 states/eV/cell

=====

[3]
Material: LaCoAs
Method: DFT, GGA-PBEsol
State: relaxed

Structure (CIF):
```
data_LaCoAs
_cell_length_a 6.7239
_cell_length_b 6.7239
_cell_length_c 6.7239
_cell_angle_alpha 90.00
_cell_angle_beta 90.00
_cell_angle_gamma 90.00
_symmetry_space_group_name_H-M 'F -4 3 m'
_symmetry_Int_Tables_number 216
_symmetry_space_group_name_Hall 'F -4 2 3'
loop_
_atom_site_label
_atom_site_fract_x
_atom_site_fract_y
_atom_site_fract_z
La1 0.0000 0.0000 0.0000
Co1 0.2500 0.2500 0.7500
As1 0.2500 0.2500 0.2500
```

Computed properties:
theoretical density = 5.96 g cm⁻³
uncorrected energy = -5.743 eV per atom
E_form = 0.32 eV/atom
magnetization = 1.87 μB/f.u.
Fermi-level density of states = 20.455 states/eV/cell

=====

[4]
Material: Mn5Os
Method: DFT, GGA-PBEsol
State: relaxed

Structure (CIF):
```
data_Mn5Os
_cell_length_a 4.0149
_cell_length_b 2.5412
_cell_length_c 12.9634
_cell_angle_alpha 90.00
_cell_angle_beta 90.00
_cell_angle_gamma 90.00
_symmetry_space_group_name_H-M 'A m m 2'
_symmetry_Int_Tables_number 38
_symmetry_space_group_name_Hall 'A 2 -2'
loop_
_atom_site_label
_atom_site_fract_x
_atom_site_fract_y
_atom_site_fract_z
Mn1 0.0000 0.0000 0.0000
Mn2 0.0000 0.0000 0.3225
Mn3 0.0000 0.0000 0.6613
Mn4 0.5000 0.0000 0.2088
Mn5 0.5000 0.0000 0.5525
Os1 0.5000 0.0000 0.8821
```

Computed properties:
theoretical density = 11.67 g cm⁻³
uncorrected energy = -10.124 eV per atom
E_form = 0.05 eV/atom
magnetization = 0.00 μB/f.u.
Fermi-level density of states = 14.732 states/eV/cell